# 1
# La2NdAg4Sn4

A relaxed structure of La2NdAg4Sn4 (PBE, OQMD via LeMat-Bulk).

extended XYZ file:
```
11
Lattice="-2.369 3.710 7.864 2.369 -3.710 7.864 2.369 3.710 -7.864" Properties=species:S:1:pos:R:3 pbc="T T T"
La 0.000 0.000 2.039
La 0.000 0.000 13.688
Nd 0.000 3.710 0.000
Ag 2.369 2.274 -2.667
Ag 2.369 2.274 2.667
Ag 0.000 1.437 5.196
Ag 0.000 1.437 10.531
Sn 2.369 1.456 0.000
Sn 2.369 0.000 4.479
Sn 0.000 3.710 3.385
Sn 0.000 2.254 7.864
```

Results
- V (Å³/f.u.) = 276.5
- space group = Immm (71)
- E_tot (eV for the cell shown) = -48.33


# 2
# LaNdAg2Sn2

A relaxed structure of LaNdAg2Sn2 (PBE, OQMD via LeMat-Bulk).

extended XYZ file:
```
6
Lattice="4.826 0.000 0.000 -2.413 4.179 0.000 0.000 0.000 7.666" Properties=species:S:1:pos:R:3 pbc="T T T"
La 0.000 0.000 0.000
Nd 0.000 0.000 3.838
Ag 0.000 2.786 5.326
Ag 2.413 1.393 1.592
Sn 0.000 2.786 2.173
Sn 2.413 1.393 5.957
```

Results
- V (Å³/f.u.) = 154.6
- space group = P3m1 (156)
- E_tot (eV for the cell shown) = -27.19


# 3
# LaNdAgTe3

A relaxed structure of LaNdAgTe3 (PBE, OQMD via LeMat-Bulk).

extended XYZ file:
```
12
Lattice="2.164 -7.405 0.000 2.164 7.405 0.000 0.000 0.000 11.659" Properties=species:S:1:pos:R:3 pbc="T T T"
La 0.000 0.000 0.000
La 0.000 0.000 5.830
Nd 2.164 4.015 8.744
Nd 2.164 -4.015 2.915
Ag 2.164 0.395 2.915
Ag 2.164 -0.395 8.744
Te 2.164 5.884 2.915
Te 2.164 2.261 0.813
Te 2.164 2.261 5.017
Te 2.164 -2.261 6.642
Te 2.164 -2.261 10.846
Te 2.164 -5.884 8.744
```

Results
- V (Å³/f.u.) = 186.9
- space group = Cmcm (63)
- E_tot (eV for the cell shown) = -57.60


# 4
# La2Ni2Ag

A relaxed structure of La2Ni2Ag (PBE, OQMD via LeMat-Bulk).

extended XYZ file:
```
10
Lattice="7.545 0.000 0.000 0.000 7.545 0.000 0.000 0.000 3.851" Properties=species:S:1:pos:R:3 pbc="T T T"
La 1.340 2.432 0.000
La 2.432 6.205 0.000
La 5.113 1.340 0.000
La 6.205 5.113 0.000
Ni 0.890 4.662 1.925
Ni 2.883 0.890 1.925
Ni 4.662 6.655 1.925
Ni 6.655 2.883 1.925
Ag 0.000 0.000 1.925
Ag 3.772 3.772 1.925
```

Results
- V (Å³/f.u.) = 109.6
- space group = P4/mbm (127)
- E_tot (eV for the cell shown) = -51.09
- DFT formation energy (eV/atom) = -0.35


# 5
# LaNiAgSn2

A relaxed structure of LaNiAgSn2 (PBE, OQMD via LeMat-Bulk).

extended XYZ file:
```
10
Lattice="4.565 0.000 0.000 0.000 4.565 0.000 0.000 0.000 10.771" Properties=species:S:1:pos:R:3 pbc="T T T"
La 1.141 1.141 2.601
La 3.424 3.424 8.171
Ni 1.141 1.141 9.549
Ni 3.424 3.424 1.222
Ag 1.141 3.424 5.386
Ag 3.424 1.141 5.386
Sn 1.141 1.141 7.052
Sn 1.141 3.424 0.000
Sn 3.424 1.141 0.000
Sn 3.424 3.424 3.719
```

Results
- V (Å³/f.u.) = 112.2
- space group = P4/nmm (129)
- E_tot (eV for the cell shown) = -48.24


# 6
# La3AgO6

A relaxed structure of La3AgO6 (PBE, OQMD via LeMat-Bulk).

extended XYZ file:
```
10
Lattice="3.890 0.000 0.000 -0.060 5.756 0.000 -1.669 -0.193 6.905" Properties=species:S:1:pos:R:3 pbc="T T T"
La 0.000 0.000 0.000
La 0.267 2.620 5.038
La 1.894 2.943 1.867
Ag -0.834 -0.096 3.453
O -0.047 4.424 2.099
O -0.049 1.548 2.524
O 0.215 4.098 6.825
O 1.946 1.465 0.080
O 2.210 4.016 4.381
O 2.208 1.140 4.806
```

Results
- V (Å³/f.u.) = 154.6
- space group = P-1 (2)
- E_tot (eV for the cell shown) = -73.72


# 7
# LaAg3Os4O12

A relaxed structure of LaAg3Os4O12 (PBE, OQMD via LeMat-Bulk).

extended XYZ file:
```
20
Lattice="-3.870 3.870 3.870 3.870 -3.870 3.870 3.870 3.870 -3.870" Properties=species:S:1:pos:R:3 pbc="T T T"
La 0.000 0.000 0.000
Ag 3.870 0.000 0.000
Ag 0.000 3.870 0.000
Ag 0.000 0.000 3.870
Os 1.935 1.935 -1.935
Os 1.935 -1.935 1.935
Os -1.935 1.935 1.935
Os 1.935 1.935 1.935
O 3.870 2.358 -1.704
O 2.166 0.000 1.511
O 5.574 0.000 1.511
O 1.511 2.166 0.000
O 2.358 -1.704 3.870
O 0.000 1.511 2.166
O 3.870 2.358 1.704
O 1.511 5.574 0.000
O 2.358 1.704 3.870
O -1.704 3.870 2.358
O 1.704 3.870 2.358
O 0.000 1.511 5.574
```

Results
- V (Å³/f.u.) = 231.8
- space group = Im-3 (204)
- E_tot (eV for the cell shown) = -136.37


# 8
# La3Ag4P4O2

A relaxed structure of La3Ag4P4O2 (PBE, OQMD via LeMat-Bulk).

extended XYZ file:
```
13
Lattice="-2.087 2.087 14.259 2.087 -2.087 14.259 2.087 2.087 -14.259" Properties=species:S:1:pos:R:3 pbc="T T T"
La 0.000 0.000 0.000
La 0.000 0.000 8.310
La 0.000 0.000 20.208
Ag 2.087 0.000 2.836
Ag 2.087 0.000 11.423
Ag 0.000 2.087 2.836
Ag 0.000 2.087 11.423
P 0.000 0.000 4.291
P 0.000 0.000 13.166
P 0.000 0.000 15.351
P 0.000 0.000 24.226
O 2.087 0.000 7.129
O 0.000 2.087 7.129
```

Results
- V (Å³/f.u.) = 248.4
- space group = I4/mmm (139)
- E_tot (eV for the cell shown) = -74.50


# 9
# La2AgPbO6

A relaxed structure of La2AgPbO6 (PBE, OQMD via LeMat-Bulk).

extended XYZ file:
```
10
Lattice="3.016 1.741 4.603 -3.016 1.741 4.603 0.000 -3.483 4.603" Properties=species:S:1:pos:R:3 pbc="T T T"
La 0.000 0.000 3.455
La 0.000 0.000 10.354
Ag 0.000 0.000 0.000
Pb 0.000 0.000 6.905
O -0.694 -1.680 5.732
O -1.802 -0.239 8.078
O -1.108 1.441 5.732
O 1.108 -1.441 8.078
O 1.802 0.239 5.732
O 0.694 1.680 8.078
```

Results
- V (Å³/f.u.) = 145.0
- space group = R-3 (148)
- E_tot (eV for the cell shown) = -64.95


# 10
# LaPrAg2Te2O2

A relaxed structure of LaPrAg2Te2O2 (PBE, OQMD via LeMat-Bulk).

extended XYZ file:
```
8
Lattice="4.224 0.000 0.000 0.000 4.224 0.000 0.000 0.000 9.903" Properties=species:S:1:pos:R:3 pbc="T T T"
La 0.000 0.000 0.000
Pr 2.112 2.112 7.598
Ag 0.000 2.112 3.797
Ag 2.112 0.000 3.797
Te 0.000 0.000 5.786
Te 2.112 2.112 1.817
O 0.000 2.112 8.748
O 2.112 0.000 8.748
```

Results
- V (Å³/f.u.) = 176.7
- space group = P4mm (99)
- E_tot (eV for the cell shown) = -46.49


# 11
# LaAg3Pt4O12

A relaxed structure of LaAg3Pt4O12 (PBE, OQMD via LeMat-Bulk).

extended XYZ file:
```
20
Lattice="-3.901 3.901 3.901 3.901 -3.901 3.901 3.901 3.901 -3.901" Properties=species:S:1:pos:R:3 pbc="T T T"
La 0.000 0.000 0.000
Ag 3.901 0.000 0.000
Ag 0.000 3.901 0.000
Ag 0.000 0.000 3.901
Pt 1.951 1.951 -1.951
Pt 1.951 -1.951 1.951
Pt -1.951 1.951 1.951
Pt 1.951 1.951 1.951
O 3.901 2.530 -1.648
O 2.254 0.000 1.372
O 5.549 0.000 1.372
O 1.372 2.254 0.000
O 2.530 -1.648 3.901
O 0.000 1.372 2.254
O 3.901 2.530 1.648
O 1.372 5.549 0.000
O 2.530 1.648 3.901
O -1.648 3.901 2.530
O 1.648 3.901 2.530
O 0.000 1.372 5.549
```

Results
- V (Å³/f.u.) = 237.5
- space group = Im-3 (204)
- E_tot (eV for the cell shown) = -110.55


# 12
# La2Ag2SeSO2

A relaxed structure of La2Ag2SeSO2 (PBE, OQMD via LeMat-Bulk).

extended XYZ file:
```
8
Lattice="4.108 0.000 0.000 0.000 4.108 0.000 0.000 0.000 9.198" Properties=species:S:1:pos:R:3 pbc="T T T"
La 0.000 0.000 0.000
La 2.054 2.054 2.434
Ag 0.000 2.054 5.946
Ag 2.054 0.000 5.946
Se 0.000 0.000 4.065
S 2.054 2.054 7.676
O 0.000 2.054 1.222
O 2.054 0.000 1.222
```

Results
- V (Å³/f.u.) = 155.2
- space group = P4mm (99)
- E_tot (eV for the cell shown) = -49.15


# 13
# LaSiAg2O

A relaxed structure of LaSiAg2O (PBE, OQMD via LeMat-Bulk).

extended XYZ file:
```
10
Lattice="3.867 0.000 0.000 0.000 3.867 0.000 0.000 0.000 12.842" Properties=species:S:1:pos:R:3 pbc="T T T"
La 0.000 0.000 0.000
La 1.933 1.933 6.421
Si 0.000 0.000 8.187
Si 1.933 1.933 1.766
Ag 0.000 1.933 3.402
Ag 0.000 1.933 9.823
Ag 1.933 0.000 3.402
Ag 1.933 0.000 9.823
O 0.000 0.000 6.476
O 1.933 1.933 0.055
```

Results
- V (Å³/f.u.) = 96.0
- space group = I4mm (107)
- E_tot (eV for the cell shown) = -50.05


# 14
# LaSm2AgO6

A relaxed structure of LaSm2AgO6 (PBE, OQMD via LeMat-Bulk).

extended XYZ file:
```
10
Lattice="3.797 0.000 0.000 -0.099 5.686 0.000 -1.691 -0.234 6.774" Properties=species:S:1:pos:R:3 pbc="T T T"
La 0.000 0.000 0.000
Sm 0.173 2.536 4.944
Sm 1.834 2.916 1.831
Ag -0.845 -0.117 3.387
O -0.065 4.335 2.060
O -0.074 1.576 2.520
O 0.114 3.980 6.687
O 1.894 1.472 0.088
O 2.081 3.876 4.255
O 2.073 1.117 4.715
```

Results
- V (Å³/f.u.) = 146.3
- space group = P-1 (2)
- E_tot (eV for the cell shown) = -73.11


# 15
# LaAgTeO

A relaxed structure of LaAgTeO (PBE, OQMD via LeMat-Bulk).

extended XYZ file:
```
8
Lattice="4.991 0.000 0.000 0.000 5.281 0.000 0.000 0.000 7.166" Properties=species:S:1:pos:R:3 pbc="T T T"
La 0.000 1.180 0.000
La 0.000 4.101 3.583
Ag 2.495 0.771 4.749
Ag 2.495 4.510 1.166
Te 2.495 1.875 2.238
Te 2.495 3.406 5.821
O 0.000 0.510 5.057
O 0.000 4.771 1.474
```

Results
- V (Å³/f.u.) = 94.4
- space group = Pmc2_1 (26)
- E_tot (eV for the cell shown) = -44.28


# 16
# LaAgTeO

A relaxed structure of LaAgTeO (PBE, OQMD via LeMat-Bulk).

extended XYZ file:
```
16
Lattice="7.073 0.000 0.000 0.000 7.744 0.000 -1.860 0.000 6.930" Properties=species:S:1:pos:R:3 pbc="T T T"
La 0.247 0.890 1.556
La -0.683 2.982 5.021
La 5.897 4.762 1.909
La 4.967 6.854 5.374
Ag 1.983 5.561 3.471
Ag 2.913 6.054 0.006
Ag 2.301 1.689 6.924
Ag 3.231 2.182 3.459
Te 1.123 0.076 4.797
Te 2.053 3.796 1.332
Te 3.161 3.948 5.599
Te 4.091 7.668 2.133
O -1.077 5.122 4.142
O -0.147 6.494 0.677
O 5.361 1.250 6.254
O 6.291 2.622 2.789
```

Results
- V (Å³/f.u.) = 94.9
- space group = P2_1/c (14)
- E_tot (eV for the cell shown) = -90.78


# 17
# La2AgP

A relaxed structure of La2AgP (PBE, OQMD via LeMat-Bulk).

extended XYZ file:
```
16
Lattice="4.089 0.000 0.000 0.000 19.543 0.000 0.000 0.000 5.784" Properties=species:S:1:pos:R:3 pbc="T T T"
La 0.000 1.647 1.446
La 0.000 5.840 1.446
La 0.000 13.703 4.338
La 0.000 17.897 4.338
La 2.044 3.932 4.338
La 2.044 8.125 4.338
La 2.044 11.418 1.446
La 2.044 15.612 1.446
Ag 0.000 9.000 1.446
Ag 0.000 10.543 4.338
Ag 2.044 0.771 4.338
Ag 2.044 18.772 1.446
P 0.000 6.041 4.338
P 0.000 13.503 1.446
P 2.044 3.731 1.446
P 2.044 15.812 4.338
```

Results
- V (Å³/f.u.) = 115.5
- space group = Cmcm (63)
- E_tot (eV for the cell shown) = -86.39


# 18
# LaPaAg

A relaxed structure of LaPaAg (PBE, OQMD via LeMat-Bulk).

extended XYZ file:
```
12
Lattice="7.159 0.000 0.000 0.000 7.159 0.000 0.000 0.000 7.159" Properties=species:S:1:pos:R:3 pbc="T T T"
La 0.000 0.000 0.000
La 0.000 3.580 3.580
La 3.580 0.000 3.580
La 3.580 3.580 0.000
Pa 0.000 0.000 3.580
Pa 0.000 3.580 0.000
Pa 3.580 0.000 0.000
Pa 3.580 3.580 3.580
Ag 1.790 1.790 1.790
Ag 1.790 5.369 5.369
Ag 5.369 1.790 5.369
Ag 5.369 5.369 1.790
```

Results
- V (Å³/f.u.) = 91.7
- space group = F-43m (216)
- E_tot (eV for the cell shown) = -61.84
- polymorph energy (0 for the lowest one) (meV per atom) = 0
- DFT formation energy (eV/atom) = 0.59


# 19
# LaPrAg2Pb2

A relaxed structure of LaPrAg2Pb2 (PBE, OQMD via LeMat-Bulk).

extended XYZ file:
```
6
Lattice="4.921 0.000 0.000 -2.460 4.261 0.000 0.000 0.000 7.779" Properties=species:S:1:pos:R:3 pbc="T T T"
La 0.000 0.000 0.000
Pr 0.000 0.000 3.894
Ag 0.000 2.841 1.548
Ag 2.460 1.420 5.389
Pb 0.000 2.841 6.065
Pb 2.460 1.420 2.201
```

Results
- V (Å³/f.u.) = 163.1
- space group = P3m1 (156)
- E_tot (eV for the cell shown) = -25.69


# 20
# LaAgPbSe2S

A relaxed structure of LaAgPbSe2S (PBE, OQMD via LeMat-Bulk).

extended XYZ file:
```
12
Lattice="2.128 -6.837 0.000 2.128 6.837 0.000 0.000 0.000 10.875" Properties=species:S:1:pos:R:3 pbc="T T T"
La 0.000 0.000 0.000
La 0.000 0.000 5.438
Ag 2.128 0.329 8.156
Ag 2.128 -0.329 2.719
Pb 2.128 3.400 2.719
Pb 2.128 -3.400 8.156
Se 2.128 2.033 6.139
Se 2.128 2.033 10.173
Se 2.128 -2.033 0.702
Se 2.128 -2.033 4.736
S 2.128 5.674 8.156
S 2.128 -5.674 2.719
```

Results
- V (Å³/f.u.) = 158.2
- space group = Cmcm (63)
- E_tot (eV for the cell shown) = -57.58


# 21
# LaAgTe2PbS

A relaxed structure of LaAgTe2PbS (PBE, OQMD via LeMat-Bulk).

extended XYZ file:
```
12
Lattice="2.229 -7.326 0.000 2.229 7.326 0.000 0.000 0.000 10.800" Properties=species:S:1:pos:R:3 pbc="T T T"
La 0.000 0.000 0.000
La 0.000 0.000 5.400
Ag 2.229 0.270 8.100
Ag 2.229 -0.270 2.700
Te 2.229 2.251 6.086
Te 2.229 2.251 10.114
Te 2.229 -2.251 0.686
Te 2.229 -2.251 4.714
Pb 2.229 3.419 2.700
Pb 2.229 -3.419 8.100
S 2.229 6.203 8.100
S 2.229 -6.203 2.700
```

Results
- V (Å³/f.u.) = 176.3
- space group = Cmcm (63)
- E_tot (eV for the cell shown) = -54.22


# 22
# LaAgPbSe3

A relaxed structure of LaAgPbSe3 (PBE, OQMD via LeMat-Bulk).

extended XYZ file:
```
12
Lattice="9.430 -2.111 0.000 9.430 2.111 0.000 -2.143 0.000 8.436" Properties=species:S:1:pos:R:3 pbc="T T T"
La 2.888 0.000 0.787
La 13.830 0.000 7.649
Ag 7.178 0.000 6.652
Ag 9.540 0.000 1.785
Pb 1.183 0.000 4.831
Pb 15.535 0.000 3.606
Se 0.000 0.000 0.000
Se 4.653 0.000 5.556
Se 5.873 0.000 1.254
Se 8.359 0.000 4.218
Se 10.845 0.000 7.183
Se 12.065 0.000 2.880
```

Results
- V (Å³/f.u.) = 168.0
- space group = C2/m (12)
- E_tot (eV for the cell shown) = -56.05
- polymorph energy (0 for the lowest one) (meV per atom) = 19